VASP calculation (PBE) on an optimized crystal structure of Cu2HgOs.

Cell and atoms, written as POSCAR:
```
Cu2HgOs
1.0
-2.2163 -0.7309 1.6844
-0.5313 -2.2720 -1.6850
4.3604 -3.9903 4.0057
Cu Hg Os
2 1 1
Cartesian
0.0434 -0.0397 0.0398 Cu
-0.4398 -2.3562 0.8578 Cu
2.1255 -1.9451 1.9526 Hg
2.0639 -4.6474 3.1578 Os
```

## Properties
Uncorrected energy: -17.670 eV/cell
N(E_F): 0.915 states/eV/atom